Entry 1:
GGA-PBE BiIrAu2, optimized geometry; density = 17.0 g cm⁻³; DFT total energy = -4.52 eV per atom; total magnetization = 0.00 μB per cell; space group = F-43m
1.0
0.000 3.388 3.388
3.388 0.000 3.388
3.388 3.388 0.000
Bi Ir Au
1 1 2
direct
0.000 0.000 0.000 Bi
0.250 0.250 0.250 Ir
0.500 0.500 0.500 Au
0.750 0.750 0.750 Au

Entry 2:
GGA-PBE BiIr2Au, optimized geometry; density = 17.9 g cm⁻³; DFT total energy = -5.68 eV per atom; total magnetization = 0.17 μB per cell; space group = F-43m
1.0
0.000 3.322 3.322
3.322 0.000 3.322
3.322 3.322 0.000
Bi Ir Au
1 2 1
direct
0.000 0.000 0.000 Bi
0.500 0.500 0.500 Ir
0.750 0.750 0.750 Ir
0.250 0.250 0.250 Au

Entry 3:
GGA-PBE LuBiIrAu, optimized geometry; density = 15.8 g cm⁻³; DFT total energy = -5.40 eV per atom; total magnetization = 0.00 μB per cell; energy relative to the lowest polymorph listed for this composition = 123 meV per atom; space group = F-43m
1.0
0.000 3.439 3.439
3.439 0.000 3.439
3.439 3.439 0.000
Lu Bi Ir Au
1 1 1 1
direct
0.000 0.000 0.000 Lu
0.250 0.250 0.250 Bi
0.500 0.500 0.500 Ir
0.750 0.750 0.750 Au

Entry 4:
GGA-PBE LuBiIrAu, optimized geometry; density = 15.3 g cm⁻³; DFT total energy = -5.26 eV per atom; total magnetization = 0.00 μB per cell; energy relative to the lowest polymorph listed for this composition = 259 meV per atom; space group = F-43m
1.0
0.000 3.476 3.476
3.476 0.000 3.476
3.476 3.476 0.000
Lu Bi Ir Au
1 1 1 1
direct
0.000 0.000 0.000 Lu
0.750 0.750 0.750 Bi
0.250 0.250 0.250 Ir
0.500 0.500 0.500 Au

Entry 5:
GGA-PBE LuBiIrAu, optimized geometry; density = 15.3 g cm⁻³; DFT total energy = -5.52 eV per atom; total magnetization = 0.00 μB per cell; energy relative to the lowest polymorph listed for this composition = 0 meV per atom; space group = F-43m
1.0
0.000 3.474 3.474
3.474 0.000 3.474
3.474 3.474 0.000
Lu Bi Ir Au
1 1 1 1
direct
0.000 0.000 0.000 Lu
0.500 0.500 0.500 Bi
0.250 0.250 0.250 Ir
0.750 0.750 0.750 Au

Entry 6:
GGA-PBE ScBiIrAu, optimized geometry; density = 13.8 g cm⁻³; DFT total energy = -5.84 eV per atom; total magnetization = 0.00 μB per cell; energy relative to the lowest polymorph listed for this composition = 73 meV per atom; space group = F-43m
1.0
0.000 3.383 3.383
3.383 0.000 3.383
3.383 3.383 0.000
Sc Bi Ir Au
1 1 1 1
direct
0.000 0.000 0.000 Sc
0.250 0.250 0.250 Bi
0.500 0.500 0.500 Ir
0.750 0.750 0.750 Au

Entry 7:
GGA-PBE ScBiIrAu, optimized geometry; density = 13.4 g cm⁻³; DFT total energy = -5.92 eV per atom; total magnetization = 0.00 μB per cell; energy relative to the lowest polymorph listed for this composition = 0 meV per atom; space group = F-43m
1.0
0.000 3.419 3.419
3.419 0.000 3.419
3.419 3.419 0.000
Sc Bi Ir Au
1 1 1 1
direct
0.000 0.000 0.000 Sc
0.500 0.500 0.500 Bi
0.250 0.250 0.250 Ir
0.750 0.750 0.750 Au

Entry 8:
GGA-PBE TlBiIrAu, optimized geometry; density = 15.5 g cm⁻³; DFT total energy = -4.22 eV per atom; total magnetization = 0.01 μB per cell; energy relative to the lowest polymorph listed for this composition = 0 meV per atom; space group = F-43m
1.0
0.000 3.501 3.501
3.501 0.000 3.501
3.501 3.501 0.000
Tl Bi Ir Au
1 1 1 1
direct
0.000 0.000 0.000 Tl
0.500 0.500 0.500 Bi
0.250 0.250 0.250 Ir
0.750 0.750 0.750 Au

Entry 9:
GGA-PBE KBiAu, optimized geometry; density = 7.2 g cm⁻³; DFT total energy = -3.14 eV per atom; energy relative to the lowest polymorph listed for this composition = 0 meV per atom; space group = P-1
1.0
5.954 0.000 0.000
-0.650 5.995 0.000
-2.215 -2.875 5.776
K Bi Au
2 2 2
direct
0.100 0.386 0.240 K
0.900 0.614 0.760 K
0.477 0.010 0.739 Bi
0.523 0.990 0.261 Bi
0.000 0.000 0.500 Au
0.500 0.500 0.000 Au

Entry 10:
GGA-PBE KBiAu, optimized geometry; density = 7.1 g cm⁻³; DFT total energy = -2.32 eV per atom; energy relative to the lowest polymorph listed for this composition = 819 meV per atom; space group = F-43m
1.0
0.000 3.726 3.726
3.726 0.000 3.726
3.726 3.726 0.000
K Bi Au
1 1 1
direct
0.000 0.000 0.000 K
0.250 0.250 0.250 Bi
0.750 0.750 0.750 Au

Entry 11:
GGA-PBE KBi5Au3, optimized geometry; density = 10.2 g cm⁻³; DFT total energy = -3.46 eV per atom; space group = P6/mmm
1.0
6.028 0.000 0.000
-3.014 5.220 0.000
0.000 0.000 8.689
K Bi Au
1 5 3
direct
0.000 0.000 0.000 K
0.000 0.000 0.500 Bi
0.333 0.667 0.203 Bi
0.333 0.667 0.797 Bi
0.667 0.333 0.203 Bi
0.667 0.333 0.797 Bi
0.000 0.500 0.500 Au
0.500 0.000 0.500 Au
0.500 0.500 0.500 Au

Entry 12:
GGA-PBE KBiAu, optimized geometry; density = 7.6 g cm⁻³; DFT total energy = -2.92 eV per atom; energy relative to the lowest polymorph listed for this composition = 219 meV per atom; space group = F-43m
1.0
0.000 3.648 3.648
3.648 0.000 3.648
3.648 3.648 0.000
K Bi Au
1 1 1
direct
0.000 0.000 0.000 K
0.500 0.500 0.500 Bi
0.750 0.750 0.750 Au

Entry 13:
GGA-PBE K5Bi2Au, optimized geometry; density = 4.2 g cm⁻³; DFT total energy = -2.53 eV per atom; space group = R-3m
1.0
3.046 1.759 9.914
-3.046 1.759 9.914
0.000 -3.518 9.914
K Bi Au
5 2 1
direct
0.000 0.000 0.000 K
0.132 0.132 0.132 K
0.282 0.282 0.282 K
0.718 0.718 0.718 K
0.868 0.868 0.868 K
0.407 0.407 0.407 Bi
0.593 0.593 0.593 Bi
0.500 0.500 0.500 Au

Entry 14:
GGA-PBE KNaBiAu, optimized geometry; density = 7.3 g cm⁻³; DFT total energy = -2.69 eV per atom; energy relative to the lowest polymorph listed for this composition = 150 meV per atom; space group = F-43m
1.0
0.000 3.764 3.764
3.764 0.000 3.764
3.764 3.764 0.000
K Na Bi Au
1 1 1 1
direct
0.000 0.000 0.000 K
0.750 0.750 0.750 Na
0.500 0.500 0.500 Bi
0.250 0.250 0.250 Au

Entry 15:
GGA-PBE KNa3Bi2Au2, optimized geometry; density = 6.5 g cm⁻³; DFT total energy = -2.84 eV per atom; space group = Pm
1.0
6.072 0.000 0.000
0.000 6.096 0.000
-1.637 0.000 6.321
K Na Bi Au
1 3 2 2
direct
0.000 0.000 0.000 K
0.339 0.500 0.378 Na
0.630 0.000 0.347 Na
0.971 0.500 0.710 Na
0.191 0.000 0.543 Bi
0.770 0.500 0.170 Bi
0.466 0.254 0.861 Au
0.466 0.746 0.861 Au

Entry 16:
GGA-PBE KNaBiAu, optimized geometry; density = 6.7 g cm⁻³; DFT total energy = -2.49 eV per atom; energy relative to the lowest polymorph listed for this composition = 343 meV per atom; space group = F-43m
1.0
0.000 3.863 3.863
3.863 0.000 3.863
3.863 3.863 0.000
K Na Bi Au
1 1 1 1
direct
0.000 0.000 0.000 K
0.500 0.500 0.500 Na
0.750 0.750 0.750 Bi
0.250 0.250 0.250 Au

Entry 17:
GGA-PBE KNaBiAu, optimized geometry; density = 6.1 g cm⁻³; DFT total energy = -2.82 eV per atom; energy relative to the lowest polymorph listed for this composition = 17 meV per atom; space group = Ama2
1.0
6.403 0.000 0.000
0.000 3.863 5.140
0.000 -3.863 5.140
K Na Bi Au
2 2 2 2
direct
0.250 0.188 0.812 K
0.750 0.812 0.188 K
0.250 0.837 0.472 Na
0.750 0.472 0.837 Na
0.250 0.621 0.036 Bi
0.750 0.036 0.621 Bi
0.000 0.302 0.302 Au
0.500 0.302 0.302 Au

Entry 18:
GGA-PBE KNaBiAu, optimized geometry; density = 6.2 g cm⁻³; DFT total energy = -2.84 eV per atom; energy relative to the lowest polymorph listed for this composition = 0 meV per atom; space group = P2_1/m
1.0
6.093 0.000 0.000
0.000 6.166 0.000
-1.806 0.000 6.634
K Na Bi Au
2 2 2 2
direct
0.036 0.250 0.152 K
0.964 0.750 0.848 K
0.347 0.750 0.521 Na
0.653 0.250 0.479 Na
0.230 0.250 0.688 Bi
0.770 0.750 0.312 Bi
0.500 0.000 0.000 Au
0.500 0.500 0.000 Au

Entry 19:
GGA-PBE KNaBiAu, optimized geometry; density = 7.3 g cm⁻³; DFT total energy = -2.65 eV per atom; energy relative to the lowest polymorph listed for this composition = 183 meV per atom; space group = F-43m
1.0
0.000 3.756 3.756
3.756 0.000 3.756
3.756 3.756 0.000
K Na Bi Au
1 1 1 1
direct
0.000 0.000 0.000 K
0.750 0.750 0.750 Na
0.250 0.250 0.250 Bi
0.500 0.500 0.500 Au

Entry 20:
GGA-PBE KNaBiAu, optimized geometry; density = 6.1 g cm⁻³; DFT total energy = -2.81 eV per atom; energy relative to the lowest polymorph listed for this composition = 27 meV per atom; space group = Amm2
1.0
6.341 0.000 0.000
0.000 5.119 3.917
0.000 -5.119 3.917
K Na Bi Au
2 2 2 2
direct
0.000 0.178 0.822 K
0.000 0.822 0.178 K
0.500 0.470 0.813 Na
0.500 0.813 0.470 Na
0.000 0.622 0.622 Bi
0.500 0.035 0.035 Bi
0.259 0.336 0.336 Au
0.741 0.336 0.336 Au

Entry 21:
GGA-PBE KNaBiAu, optimized geometry; density = 6.2 g cm⁻³; DFT total energy = -2.84 eV per atom; energy relative to the lowest polymorph listed for this composition = 0 meV per atom; space group = P2_1/m
1.0
6.079 0.000 0.000
0.000 6.160 0.000
-1.807 0.000 6.650
K Na Bi Au
2 2 2 2
direct
0.039 0.250 0.152 K
0.961 0.750 0.848 K
0.346 0.750 0.524 Na
0.654 0.250 0.476 Na
0.231 0.250 0.687 Bi
0.769 0.750 0.313 Bi
0.500 0.000 0.000 Au
0.500 0.500 0.000 Au

Entry 22:
GGA-PBE K4BiPAu2, optimized geometry; density = 5.0 g cm⁻³; DFT total energy = -3.01 eV per atom; space group = Amm2
1.0
6.710 0.000 0.000
0.000 5.178 3.815
0.000 -5.178 3.815
K Bi P Au
4 1 1 2
direct
0.000 0.166 0.834 K
0.000 0.834 0.166 K
0.500 0.140 0.498 K
0.500 0.498 0.140 K
0.000 0.416 0.416 Bi
0.500 0.935 0.935 P
0.272 0.692 0.692 Au
0.728 0.692 0.692 Au

Entry 23:
GGA-PBE K3RbBi2Au2, optimized geometry; density = 5.6 g cm⁻³; DFT total energy = -2.80 eV per atom; space group = Pm
1.0
6.746 0.000 0.000
0.000 6.872 0.000
-2.043 0.000 6.515
K Rb Bi Au
3 1 2 2
direct
0.000 0.000 0.000 K
0.305 0.500 0.989 K
0.656 0.000 0.341 K
0.650 0.500 0.647 Rb
0.423 0.000 0.769 Bi
0.883 0.500 0.217 Bi
0.149 0.249 0.495 Au
0.149 0.751 0.495 Au

Entry 24:
GGA-PBE KRb2Bi2Au3, optimized geometry; density = 7.2 g cm⁻³; DFT total energy = -2.98 eV per atom; space group = R-3m
1.0
3.299 1.905 7.504
-3.299 1.905 7.504
0.000 -3.809 7.504
K Rb Bi Au
1 2 2 3
direct
0.000 0.000 0.000 K
0.421 0.421 0.421 Rb
0.579 0.579 0.579 Rb
0.258 0.258 0.258 Bi
0.742 0.742 0.742 Bi
0.000 0.000 0.500 Au
0.000 0.500 0.000 Au
0.500 0.000 0.000 Au

Entry 25:
GGA-PBE K2RbBi2Au3, optimized geometry; density = 7.3 g cm⁻³; DFT total energy = -3.02 eV per atom; space group = R-3m
1.0
3.216 1.857 7.436
-3.216 1.857 7.436
0.000 -3.714 7.436
K Rb Bi Au
2 1 2 3
direct
0.078 0.078 0.078 K
0.922 0.922 0.922 K
0.500 0.500 0.500 Rb
0.240 0.240 0.240 Bi
0.760 0.760 0.760 Bi
0.000 0.500 0.500 Au
0.500 0.000 0.500 Au
0.500 0.500 0.000 Au

Entry 26:
GGA-PBE La3Bi4Au3, optimized geometry; density = 10.9 g cm⁻³; DFT total energy = -4.91 eV per atom; total magnetization = 0.01 μB per cell; space group = I-43d
1.0
-5.198 5.198 5.198
5.198 -5.198 5.198
5.198 5.198 -5.198
La Bi Au
6 8 6
direct
0.125 0.750 0.875 La
0.250 0.625 0.375 La
0.375 0.250 0.625 La
0.625 0.375 0.250 La
0.750 0.875 0.125 La
0.875 0.125 0.750 La
0.000 0.323 0.500 Bi
0.000 0.823 0.500 Bi
0.177 0.177 0.177 Bi
0.323 0.500 0.000 Bi
0.500 0.000 0.323 Bi
0.500 0.000 0.823 Bi
0.677 0.677 0.677 Bi
0.823 0.500 0.000 Bi
0.125 0.875 0.250 Au
0.250 0.125 0.875 Au
0.375 0.625 0.750 Au
0.625 0.750 0.375 Au
0.750 0.375 0.625 Au
0.875 0.250 0.125 Au

Entry 27:
GGA-PBE LaBi2Au, optimized geometry; density = 11.1 g cm⁻³; DFT total energy = -4.73 eV per atom; total magnetization = 0.00 μB per cell; space group = P4/nmm
1.0
4.697 0.000 0.000
0.000 4.697 0.000
0.000 0.000 10.213
La Bi Au
2 4 2
direct
0.250 0.250 0.237 La
0.750 0.750 0.763 La
0.250 0.250 0.816 Bi
0.250 0.750 0.500 Bi
0.750 0.250 0.500 Bi
0.750 0.750 0.184 Bi
0.250 0.750 0.000 Au
0.750 0.250 0.000 Au